This record from Alexandria via LeMat-Bulk describes a geometry-optimized MoCl3 structure. The functional is PBE.

a = 7.710 Å, b = 7.710 Å, c = 7.710 Å
α = 140.40°, β = 140.40°, γ = 57.24°
Atoms (fractional coordinates):
Mo 0.213 0.213 0.000
Mo 0.787 0.787 0.000
Cl 0.000 0.500 0.500
Cl 0.250 0.750 0.500
Cl 0.378 0.378 0.000
Cl 0.500 0.000 0.500
Cl 0.622 0.622 0.000
Cl 0.750 0.250 0.500

- Uncorrected formation energy: 247 meV/atom

---

This record from Alexandria via LeMat-Bulk describes a geometry-optimized LiW2 structure. The functional is PBE.

a = 4.788 Å, b = 4.788 Å, c = 4.788 Å
α = 148.60°, β = 125.44°, γ = 64.31°
Atoms (fractional coordinates):
Li 0.000 0.000 0.000
W 0.332 0.332 0.000
W 0.668 0.668 0.000

- E_form: 10.114 kcal/mol of atoms

---

This record from Alexandria via LeMat-Bulk describes a geometry-optimized Be17ZnOs structure. The functional is PBE.

a = 5.515 Å, b = 5.515 Å, c = 5.515 Å
α = 81.68°, β = 81.68°, γ = 81.68°
Atoms (fractional coordinates):
Be 0.005 0.497 0.497
Be 0.057 0.057 0.057
Be 0.160 0.465 0.849
Be 0.160 0.849 0.465
Be 0.163 0.163 0.658
Be 0.163 0.658 0.163
Be 0.258 0.258 0.258
Be 0.327 0.809 0.809
Be 0.465 0.160 0.849
Be 0.465 0.849 0.160
Be 0.497 0.005 0.497
Be 0.497 0.497 0.005
Be 0.658 0.163 0.163
Be 0.809 0.327 0.809
Be 0.809 0.809 0.327
Be 0.849 0.160 0.465
Be 0.849 0.465 0.160
Zn 0.795 0.795 0.795
Os 0.483 0.483 0.483

- E_form: -0.972 kcal/mol of atoms

---

This record from Alexandria via LeMat-Bulk describes a geometry-optimized FeSb2Cl structure. The functional is PBE.

a = 5.287 Å, b = 5.287 Å, c = 3.071 Å
α = 90.00°, β = 90.00°, γ = 90.00°
Atoms (fractional coordinates):
Fe 0.000 0.000 0.000
Sb 0.000 0.500 0.500
Sb 0.500 0.000 0.500
Cl 0.500 0.500 0.000

- Uncorrected formation energy: 380 meV/atom

---

This record from Alexandria via LeMat-Bulk describes a geometry-optimized ZnAs2Br structure. The functional is PBE.

a = 3.246 Å, b = 4.780 Å, c = 5.283 Å
α = 90.00°, β = 90.00°, γ = 90.00°
Atoms (fractional coordinates):
Zn 0.000 0.000 0.000
As 0.000 0.500 0.500
As 0.500 0.500 0.000
Br 0.500 0.000 0.500

- Uncorrected formation energy: 371 meV/atom

---

This record from Alexandria via LeMat-Bulk describes a geometry-optimized SrPrSn2 structure. The functional is PBE.

a = 5.214 Å, b = 5.214 Å, c = 4.533 Å
α = 90.00°, β = 90.00°, γ = 90.00°
Atoms (fractional coordinates):
Sr 0.000 0.000 0.000
Pr 0.500 0.500 0.000
Sn 0.000 0.500 0.500
Sn 0.500 0.000 0.500

- E_form: -13.673 kcal/mol of atoms

---

This record from Alexandria via LeMat-Bulk describes a geometry-optimized NaSn2Mo structure. The functional is PBE.

a = 4.928 Å, b = 4.928 Å, c = 4.928 Å
α = 60.00°, β = 60.00°, γ = 60.00°
Atoms (fractional coordinates):
Na 0.000 0.000 0.000
Sn 0.250 0.250 0.250
Sn 0.750 0.750 0.750
Mo 0.500 0.500 0.500

- E_form: 8.217 kcal/mol of atoms

---

This record from Alexandria via LeMat-Bulk describes a geometry-optimized ScGeSeS structure. The functional is PBE.

a = 3.655 Å, b = 3.800 Å, c = 7.580 Å
α = 88.54°, β = 76.15°, γ = 61.35°
Atoms (fractional coordinates):
Sc 0.000 0.000 0.000
Ge 0.779 0.935 0.513
Se 0.195 0.387 0.226
S 0.786 0.615 0.810

- Uncorrected formation energy: -952 meV/atom

---

How do the records compare in magnetization? In the order shown, they have 5.310 0.000 0.000 3.026 0.000 0.000 2.061 0.000 μB per cell.